# 1
The following is a DFT calculation (PBE) of an optimized crystal structure of Pa2ZnGa2Co5.

Cell: 3.4427 9.4072 9.4072 Å, 90.00 90.00 90.00°
With the nearest neighbours (Å) after each atom.
Positions (direct):
Pa: 0.0000 0.6804 0.1804  3 Ga 2.69-2.86, 6 Co 2.83-2.95
Pa: 0.0000 0.3196 0.8196  3 Ga 2.69-2.86, 6 Co 2.83-2.95
Pa: 0.0000 0.1804 0.3196  3 Ga 2.69-2.86, 6 Co 2.83-2.95
Pa: 0.0000 0.8196 0.6804  3 Ga 2.69-2.86, 6 Co 2.83-2.95
Zn: 0.0000 0.0000 0.0000  8 Co 2.71
Zn: 0.0000 0.5000 0.5000  8 Co 2.71
Ga: 0.0000 0.1172 0.6172  6 Co 2.32-2.42
Ga: 0.0000 0.8828 0.3828  6 Co 2.32-2.42
Ga: 0.0000 0.6172 0.8828  6 Co 2.32-2.42
Ga: 0.0000 0.3828 0.1172  6 Co 2.32-2.42
Co: 0.5000 0.2061 0.0825  2 Ga 2.42
Co: 0.5000 0.7939 0.9175  2 Ga 2.42
Co: 0.5000 0.0825 0.7939  2 Ga 2.42
Co: 0.5000 0.7061 0.4175  2 Ga 2.42
Co: 0.5000 0.9175 0.2061  2 Ga 2.42
Co: 0.5000 0.2939 0.5825  2 Ga 2.42
Co: 0.5000 0.5825 0.7061  2 Ga 2.42
Co: 0.5000 0.4175 0.2939  2 Ga 2.42
Co: 0.5000 0.5000 0.0000  4 Ga 2.32
Co: 0.5000 0.0000 0.5000  4 Ga 2.32

The total energy is -125.84 eV for the cell shown. The formation energy from the elements comes out at -0.107 eV/atom. The density of states at the Fermi level comes out at 7.6 states/eV/f.u. The value obtained for the total magnetization is 0.0 Bohr magnetons per cell.



# 2
The following is a DFT calculation (PBE) of an optimized crystal structure of PaZnGaCo.

Cell: 4.2281 3.8058 6.2549 Å, 108.06 90.00 123.74°
With the nearest neighbours (Å) after each atom.
Positions (direct):
Pa: 0.0534 0.1067 0.9961  1 Co 2.25
Zn: 0.5626 0.1252 0.6431  1 Co 2.47, 2 Ga 2.66
Ga: 0.8543 0.7087 0.3980  3 Co 2.51-2.52, 3 Zn 2.66-2.81
Co: 0.4256 0.8513 0.2183  1 Pa 2.25, 1 Zn 2.47, 2 Ga 2.51

The total energy is -21.24 eV for the cell shown. The formation energy from the elements comes out at -0.083 eV/atom. The density of states at the Fermi level comes out at 3.3 states/eV/f.u. The value obtained for the total magnetization is 0.0 Bohr magnetons per cell. Its polymorph energy (0 for the lowest one) is 0.074 eV/atom.



# 3
The following is a DFT calculation (PBE) of an optimized crystal structure of Ga2Co2Pb.

Cell: 3.6459 3.6459 6.4389 Å, 73.55 73.55 90.00°
With the nearest neighbours (Å) after each atom.
Positions (direct):
Pb: 0.0000 0.0000 0.0000  8 Co 2.87
Co: 0.3938 0.3938 0.2124  4 Ga 2.49, 1 Co 2.51
Co: 0.6062 0.6062 0.7876  4 Ga 2.49, 1 Co 2.51
Ga: 0.7500 0.2500 0.5000  4 Co 2.49, 4 Ga 2.58
Ga: 0.2500 0.7500 0.5000  4 Co 2.49, 4 Ga 2.58

The total energy is -23.59 eV for the cell shown. The formation energy from the elements comes out at 0.078 eV/atom. The density of states at the Fermi level comes out at 3.1 states/eV/f.u. The value obtained for the total magnetization is 0.0 Bohr magnetons per cell. Its polymorph energy (0 for the lowest one) is 0.000 eV/atom.



# 4
The following is a DFT calculation (PBE) of an optimized crystal structure of Ga2Co2Pb.

Cell: 7.4373 7.4373 2.8406 Å, 90.00 90.00 90.00°
With the nearest neighbours (Å) after each atom.
Positions (direct):
Pb: 0.0000 0.0000 0.0000  2 Pb 2.84, 4 Ga 2.91, 8 Co 3.15
Pb: 0.5000 0.5000 0.0000  2 Pb 2.84, 4 Ga 2.91, 8 Co 3.15
Co: 0.1560 0.6560 0.5000  6 Ga 2.57-2.66, 2 Co 2.84
Co: 0.6560 0.8440 0.5000  6 Ga 2.57-2.66, 2 Co 2.84
Co: 0.8440 0.3440 0.5000  6 Ga 2.57-2.66, 2 Co 2.84
Co: 0.3440 0.1560 0.5000  6 Ga 2.57-2.66, 2 Co 2.84
Ga: 0.3696 0.8696 0.0000  6 Co 2.57-2.66, 3 Ga 2.74-2.84
Ga: 0.8696 0.6304 0.0000  6 Co 2.57-2.66, 3 Ga 2.74-2.84
Ga: 0.6304 0.1304 0.0000  6 Co 2.57-2.66, 3 Ga 2.74-2.84
Ga: 0.1304 0.3696 0.0000  6 Co 2.57-2.66, 3 Ga 2.74-2.84

The total energy is -46.12 eV for the cell shown. The formation energy from the elements comes out at 0.183 eV/atom. The density of states at the Fermi level comes out at 3.6 states/eV/f.u. The value obtained for the total magnetization is 0.0 Bohr magnetons per cell. Its polymorph energy (0 for the lowest one) is 0.106 eV/atom.



# 5
The following is a DFT calculation (PBE) of an optimized crystal structure of GaCoPb3.

Cell: 5.1153 5.1153 5.1153 Å, 90.00 90.00 90.00°
With the nearest neighbours (Å) after each atom.
Positions (direct):
Pb: 0.0000 0.5000 0.0000  2 Co 2.56
Pb: 0.0000 0.0000 0.5000  2 Co 2.56
Pb: 0.5000 0.0000 0.0000  2 Co 2.56
Co: 0.0000 0.0000 0.0000  6 Pb 2.56
Ga: 0.5000 0.5000 0.5000  12 Pb 3.62

The total energy is -19.91 eV for the cell shown. The formation energy from the elements comes out at 0.270 eV/atom. The density of states at the Fermi level comes out at 2.3 states/eV/f.u. The value obtained for the total magnetization is 0.0 Bohr magnetons per cell. Its polymorph energy (0 for the lowest one) is 0.000 eV/atom.



# 6
The following is a DFT calculation (PBE) of an optimized crystal structure of Ga2CoPb.

Cell: 4.4040 4.4040 8.9666 Å, 75.78 75.78 90.00°
With the nearest neighbours (Å) after each atom.
Positions (direct):
Pb: 0.0000 0.0000 0.0000  4 Ga 2.84, 4 Co 3.11
Pb: 0.7500 0.2500 0.5000  4 Ga 2.84, 4 Co 3.11
Co: 0.5000 0.5000 0.0000  4 Ga 2.46
Co: 0.2500 0.7500 0.5000  4 Ga 2.46
Ga: 0.5196 0.1250 0.2500  2 Co 2.46, 2 Ga 2.54
Ga: 0.2304 0.6250 0.2500  2 Co 2.46, 2 Ga 2.54
Ga: 0.3750 0.4804 0.7500  2 Co 2.46, 2 Ga 2.54
Ga: 0.8750 0.7696 0.7500  2 Co 2.46, 2 Ga 2.54

The total energy is -31.60 eV for the cell shown. The formation energy from the elements comes out at 0.267 eV/atom. The density of states at the Fermi level comes out at 3.0 states/eV/f.u. The value obtained for the total magnetization is 1.6 Bohr magnetons per cell.



# 7
The following is a DFT calculation (PBE) of an optimized crystal structure of GaCoPb2.

Cell: 4.9009 4.9009 9.1900 Å, 74.54 74.54 90.00°
With the nearest neighbours (Å) after each atom.
Positions (direct):
Pb: 0.5838 0.1250 0.2500  2 Co 2.66, 2 Ga 2.84
Pb: 0.1662 0.6250 0.2500  2 Co 2.66, 2 Ga 2.84
Pb: 0.3750 0.4162 0.7500  2 Co 2.66, 2 Ga 2.84
Pb: 0.8750 0.8338 0.7500  2 Co 2.66, 2 Ga 2.84
Co: 0.5000 0.5000 0.0000  4 Pb 2.66
Co: 0.2500 0.7500 0.5000  4 Pb 2.66
Ga: 0.0000 0.0000 0.0000  4 Pb 2.84
Ga: 0.7500 0.2500 0.5000  4 Pb 2.84

The total energy is -30.54 eV for the cell shown. The formation energy from the elements comes out at 0.570 eV/atom. The density of states at the Fermi level comes out at 3.6 states/eV/f.u. The value obtained for the total magnetization is 2.8 Bohr magnetons per cell.



# 8
The following is a DFT calculation (PBE) of an optimized crystal structure of Ga2Co2Pb.

Cell: 7.1406 7.1406 3.0121 Å, 90.00 90.00 90.00°
With the nearest neighbours (Å) after each atom.
Positions (direct):
Pb: 0.0000 0.0000 0.0000  4 Co 2.73, 2 Pb 3.01
Pb: 0.5000 0.5000 0.0000  4 Co 2.73, 2 Pb 3.01
Co: 0.3527 0.8527 0.0000  6 Ga 2.56-2.61, 2 Pb 2.73
Co: 0.8527 0.6473 0.0000  6 Ga 2.56-2.61, 2 Pb 2.73
Co: 0.6473 0.1473 0.0000  6 Ga 2.56-2.61, 2 Pb 2.73
Co: 0.1473 0.3527 0.0000  6 Ga 2.56-2.61, 2 Pb 2.73
Ga: 0.1419 0.6419 0.5000  6 Co 2.56-2.61
Ga: 0.6419 0.8581 0.5000  6 Co 2.56-2.61
Ga: 0.8581 0.3581 0.5000  6 Co 2.56-2.61
Ga: 0.3581 0.1419 0.5000  6 Co 2.56-2.61

The total energy is -46.86 eV for the cell shown. The formation energy from the elements comes out at 0.108 eV/atom. The density of states at the Fermi level comes out at 4.0 states/eV/f.u. The value obtained for the total magnetization is 1.2 Bohr magnetons per cell. Its polymorph energy (0 for the lowest one) is 0.031 eV/atom.



# 9
The following is a DFT calculation (PBE) of an optimized crystal structure of Ga2Co2Pb.

Cell: 4.1435 4.1435 5.8063 Å, 69.10 69.10 90.00°
With the nearest neighbours (Å) after each atom.
Positions (direct):
Pb: 0.0000 0.0000 0.0000  8 Ga 3.23, 8 Co 3.25
Co: 0.7500 0.2500 0.5000  4 Ga 2.37
Co: 0.2500 0.7500 0.5000  4 Ga 2.37
Ga: 0.3653 0.3653 0.2695  4 Co 2.37
Ga: 0.6347 0.6347 0.7305  4 Co 2.37

The total energy is -23.15 eV for the cell shown. The formation energy from the elements comes out at 0.165 eV/atom. The density of states at the Fermi level comes out at 3.1 states/eV/f.u. The value obtained for the total magnetization is 0.0 Bohr magnetons per cell. Its polymorph energy (0 for the lowest one) is 0.087 eV/atom.



# 10
The following is a DFT calculation (PBE) of an optimized crystal structure of GaCoPb3.

Cell: 5.4356 5.4356 5.4356 Å, 90.00 90.00 90.00°
With the nearest neighbours (Å) after each atom.
Positions (direct):
Pb: 0.0000 0.5000 0.0000  2 Ga 2.72
Pb: 0.0000 0.0000 0.5000  2 Ga 2.72
Pb: 0.5000 0.0000 0.0000  2 Ga 2.72
Co: 0.5000 0.5000 0.5000  12 Pb 3.84
Ga: 0.0000 0.0000 0.0000  6 Pb 2.72

The total energy is -16.26 eV for the cell shown. The formation energy from the elements comes out at 1.000 eV/atom. The density of states at the Fermi level comes out at 8.1 states/eV/f.u. The value obtained for the total magnetization is 2.0 Bohr magnetons per cell. Its polymorph energy (0 for the lowest one) is 0.730 eV/atom.